(1)
A plane-wave DFT calculation with PBE was carried out for a relaxed structure of Rb2Na2NpO4.

Formation energy (no corrections)   -17.43 eV/f.u.
Total magnetic moment   3.88 μB/cell

Cell lengths 13.0856, 3.5479, 9.4315 Å; angles 90.00, 108.60, 90.00 degrees
Space group C2/m (No. 12)
Symmetry-distinct sites (fractional):
1 Rb 0.2205 0.0000 0.3016 x4
2 Na 0.0541 0.5000 0.8224 x4
3 Np 0.0000 0.0000 0.5000 x2
4 O 0.0816 0.5000 0.4300 x4
5 O 0.1109 0.0000 0.7035 x4

=====

(2)
A plane-wave DFT calculation with PBE was carried out for a relaxed structure of PrHoPtI.

Formation energy (no corrections)   -4.42 eV/f.u.
Total magnetic moment   0.00 μB/cell

Cell lengths 4.2038, 4.2038, 24.1676 Å; angles 90.00, 90.00, 120.00 degrees
Space group R3m (No. 160, hexagonal axes)
Symmetry-distinct sites (fractional):
1 Pr 0.0000 0.0000 0.0000 x3
2 Ho 0.0000 0.0000 0.2095 x3
3 Pt 0.0000 0.0000 0.5999 x3
4 I 0.0000 0.0000 0.7744 x3

=====

(3)
A plane-wave DFT calculation with PBE was carried out for a relaxed structure of Dy5Hg2Rh2Au.

Energy of formation from the pure elements   -0.639 eV/atom
Total magnetic moment   0.00 μB/cell

Cell lengths 11.5888, 11.5888, 3.6458 Å; angles 90.00, 90.00, 90.00 degrees
Space group P4/mbm (No. 127)
Symmetry-distinct sites (fractional):
1 Dy 0.0000 0.5000 0.0000 x2
2 Dy 0.0848 0.1978 0.0000 x8
3 Hg 0.1709 0.6709 0.5000 x4
4 Rh 0.1312 0.3688 0.5000 x4
5 Au 0.0000 0.0000 0.5000 x2

=====

(4)
A plane-wave DFT calculation with PBE was carried out for a relaxed structure of Ce2Si5Ir3.

Formation energy (no corrections)   -9.85 eV/f.u.
Total magnetic moment   0.02 μB/cell

Cell lengths 10.0298, 11.5498, 5.8972 Å; angles 90.00, 90.00, 90.00 degrees
Space group Ibam (No. 72)
Symmetry-distinct sites (fractional):
1 Ce 0.2302 0.1307 0.0000 x8
2 Si 0.0000 0.0000 0.2500 x4
3 Si 0.0000 0.2728 0.2500 x8
4 Si 0.1520 0.3915 0.0000 x8
5 Ir 0.0000 0.5000 0.2500 x4
6 Ir 0.1147 0.1389 0.5000 x8

=====

(5)
A plane-wave DFT calculation with PBE was carried out for a relaxed structure of Hf2NiPt.

Energy of formation from the pure elements   -0.498 eV/atom
Total magnetic moment   0.00 μB/cell

Cell lengths 3.5165, 3.5165, 20.9794 Å; angles 90.00, 90.00, 120.00 degrees
Space group R-3m (No. 166, hexagonal axes)
Symmetry-distinct sites (fractional):
1 Hf 0.0000 0.0000 0.2451 x6
2 Ni 0.0000 0.0000 0.5000 x3
3 Pt 0.0000 0.0000 0.0000 x3

=====

(6)
A plane-wave DFT calculation with PBE was carried out for a relaxed structure of YCu12Ge4.

Energy of formation from the pure elements   0.306 eV/atom
Total magnetic moment   0.00 μB/cell

Cell lengths 8.2635, 8.2635, 8.2635 Å; angles 90.00, 90.00, 90.00 degrees
Space group Im-3 (No. 204)
Symmetry-distinct sites (fractional):
1 Y 0.0000 0.0000 0.0000 x2
2 Cu 0.0000 0.1494 0.3550 x24
3 Ge 0.2500 0.2500 0.2500 x8

=====

(7)
A plane-wave DFT calculation with PBE was carried out for a relaxed structure of K3TcW.

Energy of formation from the pure elements   2.418 eV/atom
Total magnetic moment   9.70 μB/cell

Cell lengths 6.6396, 6.6396, 6.6396 Å; angles 90.00, 90.00, 90.00 degrees
Space group Pm-3m (No. 221)
Symmetry-distinct sites (fractional):
1 K 0.0000 0.0000 0.5000 x3
2 Tc 0.5000 0.5000 0.5000 x1
3 W 0.0000 0.0000 0.0000 x1

=====

(8)
A plane-wave DFT calculation with PBE was carried out for a relaxed structure of Rb3VNi.

Energy of formation from the pure elements   1.216 eV/atom
Total magnetic moment   4.64 μB/cell

Cell lengths 6.3791, 6.3791, 6.3791 Å; angles 90.00, 90.00, 90.00 degrees
Space group Pm-3m (No. 221)
Symmetry-distinct sites (fractional):
1 Rb 0.0000 0.0000 0.5000 x3
2 V 0.5000 0.5000 0.5000 x1
3 Ni 0.0000 0.0000 0.0000 x1

=====

(9)
A plane-wave DFT calculation with PBE was carried out for a relaxed structure of BeBiF2.

Formation energy (no corrections)   -7.81 eV/f.u.
Total magnetic moment   0.00 μB/cell

Cell lengths 7.7182, 7.7182, 7.7182 Å; angles 90.00, 90.00, 90.00 degrees
Space group Fd-3m (No. 227, origin choice 2)
Symmetry-distinct sites (fractional):
1 Be 0.1250 0.1250 0.1250 x8
2 Bi 0.1250 0.1250 0.6250 x8
3 F 0.0000 0.0000 0.0000 x16

=====

(10)
A plane-wave DFT calculation with PBE was carried out for a relaxed structure of NaBe4SbO7.

Formation energy (no corrections)   -30.42 eV/f.u.
Total magnetic moment   0.00 μB/cell

Cell lengths 5.4871, 5.4871, 8.9417 Å; angles 90.00, 90.00, 120.00 degrees
Space group P6_3mc (No. 186)
Symmetry-distinct sites (fractional):
1 Na 0.3333 0.6667 0.0000 x2
2 Be 0.0000 0.0000 0.4354 x2
3 Be 0.1656 0.3311 0.6878 x6
4 Sb 0.3333 0.6667 0.3748 x2
5 O 0.0000 0.0000 0.2499 x2
6 O 0.0102 0.5051 0.7454 x6
7 O 0.1607 0.3215 0.5034 x6

=====

(11)
A plane-wave DFT calculation with PBE was carried out for a relaxed structure of AlSb2Ir.

Formation energy (no corrections)   0.40 eV/f.u.
Total magnetic moment   0.00 μB/cell

Cell lengths 3.1331, 4.6707, 11.7308 Å; angles 90.00, 90.00, 90.00 degrees
Space group Imm2 (No. 44)
Symmetry-distinct sites (fractional):
1 Al 0.0000 0.0000 0.0000 x2
2 Sb 0.0000 0.0000 0.3843 x2
3 Sb 0.0000 0.5000 0.1679 x2
4 Ir 0.0000 0.5000 0.6812 x2

=====

(12)
A plane-wave DFT calculation with PBE was carried out for a relaxed structure of Sm2TmIr9.

Energy of formation from the pure elements   -0.540 eV/atom
Total magnetic moment   0.00 μB/cell

Cell lengths 5.3194, 5.3194, 26.5657 Å; angles 90.00, 90.00, 120.00 degrees
Space group R-3m (No. 166, hexagonal axes)
Symmetry-distinct sites (fractional):
1 Sm 0.0000 0.0000 0.1391 x6
2 Tm 0.0000 0.0000 0.0000 x3
3 Ir 0.0000 0.0000 0.3324 x6
4 Ir 0.0000 0.0000 0.5000 x3
5 Ir 0.0021 0.5010 0.0810 x18

=====

(13)
A plane-wave DFT calculation with PBE was carried out for a relaxed structure of Tb4Pr2Y3.

Energy of formation from the pure elements   0.091 eV/atom
Total magnetic moment   0.00 μB/cell

Cell lengths 16.8485, 11.7337, 6.0404 Å; angles 90.00, 97.12, 90.00 degrees
Space group C2/c (No. 15)
Symmetry-distinct sites (fractional):
1 Tb 0.0616 0.1067 0.0442 x8
2 Tb 0.2321 0.3913 0.8725 x8
3 Pr 0.1057 0.3861 0.2811 x8
4 Y 0.0000 0.3499 0.7500 x4
5 Y 0.1644 0.1502 0.5871 x8

=====

(14)
A plane-wave DFT calculation with PBE was carried out for a relaxed structure of Rb2Na3InBr6.

Formation energy (no corrections)   -17.39 eV/f.u.
Total magnetic moment   0.00 μB/cell

Cell lengths 20.0754, 4.5309, 9.2401 Å; angles 90.00, 104.90, 90.00 degrees
Space group C2/m (No. 12)
Symmetry-distinct sites (fractional):
1 Rb 0.1654 0.0000 0.3280 x4
2 Na 0.0000 0.5000 0.5000 x2
3 Na 0.1657 0.0000 0.8324 x4
4 In 0.0000 0.5000 0.0000 x2
5 Br 0.0087 0.0000 0.7365 x4
6 Br 0.1581 0.5000 0.6018 x4
7 Br 0.1722 0.5000 0.0575 x4

=====

(15)
A plane-wave DFT calculation with PBE was carried out for a relaxed structure of LiTcSb3.

Formation energy (no corrections)   1.81 eV/f.u.
Total magnetic moment   0.96 μB/cell

Cell lengths 5.2358, 5.2358, 5.2358 Å; angles 90.00, 90.00, 90.00 degrees
Space group Pm-3m (No. 221)
Symmetry-distinct sites (fractional):
1 Li 0.0000 0.0000 0.0000 x1
2 Tc 0.5000 0.5000 0.5000 x1
3 Sb 0.0000 0.5000 0.5000 x3

=====

Number 1: density of states at the Fermi level 3.97 states/eV/f.u.. Number 2: density of states at the Fermi level 3.68 states/eV/f.u.. Number 3: density of states at the Fermi level 7.11 states/eV/f.u.. Number 4: density of states at the Fermi level 4.18 states/eV/f.u.. Number 5: density of states at the Fermi level 2.70 states/eV/f.u.. Number 6: density of states at the Fermi level 10.35 states/eV/f.u.. Number 7: density of states at the Fermi level 31.84 states/eV/f.u.. Number 8: density of states at the Fermi level 21.03 states/eV/f.u.. Number 9: density of states at the Fermi level 0.20 states/eV/f.u.. Number 10: density of states at the Fermi level 0.00 states/eV/f.u.. Number 11: density of states at the Fermi level 2.34 states/eV/f.u.. Number 12: density of states at the Fermi level 11.25 states/eV/f.u.. Number 13: density of states at the Fermi level 13.22 states/eV/f.u.. Number 14: density of states at the Fermi level 0.00 states/eV/f.u.. Number 15: density of states at the Fermi level 2.88 states/eV/f.u..